Crystalline Ti4Ir5W at its relaxed geometry. Source: Alexandria, functional PBE-GGA.

## Properties
- V: 151 Å³/cell
- Formation energy from the elements: -0.708 eV per atom
- Magnetization: 0.000 μB per atom
- D(E_F): 8.37 states/eV/cell

Lattice parameters (Å, degrees): 2.893 2.893 18.042 90.00 90.00 90.00
Space group P4/mmm (No. 123)
Unique sites:
Ti: 0.000 0.000 0.098 [2 per cell]
Ti: 0.000 0.000 0.294 [2 per cell]
Ir: 0.500 0.500 0.000 [1 per cell]
Ir: 0.500 0.500 0.196 [2 per cell]
Ir: 0.500 0.500 0.397 [2 per cell]
W: 0.000 0.000 0.500 [1 per cell]

Crystalline TiIr2W2 at its relaxed geometry. Source: Alexandria, functional PBE-GGA.

## Properties
- V: 165 Å³/cell
- Formation energy from the elements: -0.083 eV per atom
- Energy above the most stable polymorph in this dataset: 0 meV/atom
- Magnetization: 0.114 μB per atom
- D(E_F): 13.47 states/eV/cell

Lattice parameters (Å, degrees): 7.712 7.712 2.767 90.00 90.00 90.00
Space group P4/mbm (No. 127)
Unique sites:
Ti: 0.000 0.000 0.000 [2 per cell]
Ir: 0.173 0.327 0.500 [4 per cell]
W: 0.122 0.622 0.000 [4 per cell]

Crystalline TiIr2W at its relaxed geometry. Source: Alexandria, functional PBE-GGA.

## Properties
- V: 272 Å³/cell
- Formation energy from the elements: 0.249 eV per atom
- Energy above the most stable polymorph in this dataset: 720 meV/atom
- Magnetization: 0.000 μB per atom
- D(E_F): 13.16 states/eV/cell

Lattice parameters (Å, degrees): 3.977 3.977 17.183 90.00 90.00 90.00
Space group I-42d (No. 122)
Unique sites:
Ti: 0.000 0.000 0.000 [4 per cell]
Ir: 0.246 0.250 0.125 [8 per cell]
W: 0.000 0.000 0.500 [4 per cell]

Crystalline TiZnIrW2 at its relaxed geometry. Source: Alexandria, functional PBE-GGA.

## Properties
- V: 90 Å³/cell
- Formation energy from the elements: 1.588 eV per atom
- Magnetization: 0.000 μB per atom
- D(E_F): 8.16 states/eV/cell

Lattice parameters (Å, degrees): 4.521 4.521 4.400 90.00 90.00 90.00
Space group P4/mmm (No. 123)
Unique sites:
Ti: 0.000 0.000 0.000 [1 per cell]
Zn: 0.000 0.000 0.500 [1 per cell]
Ir: 0.500 0.500 0.000 [1 per cell]
W: 0.000 0.500 0.500 [2 per cell]

Crystalline Y2Ti12Ir7 at its relaxed geometry. Source: Alexandria, functional PBE-GGA.

## Properties
- V: 383 Å³/cell
- Formation energy from the elements: -0.632 eV per atom
- Magnetization: 0.000 μB per atom
- D(E_F): 23.99 states/eV/cell

Lattice parameters (Å, degrees): 10.1912 10.1912 4.2636 90.00 90.00 120.00
Space group P-6 (No. 174)
Unique sites:
Y: 0.0000 0.0000 0.0000 [1 per cell]
Y: 0.3333 0.6667 0.5000 [1 per cell]
Ti: 0.0503 0.7692 0.5000 [3 per cell]
Ti: 0.1056 0.3981 0.0000 [3 per cell]
Ti: 0.3878 0.2037 0.0000 [3 per cell]
Ti: 0.5544 0.1164 0.5000 [3 per cell]
Ir: 0.0703 0.6305 0.0000 [3 per cell]
Ir: 0.2739 0.0399 0.5000 [3 per cell]
Ir: 0.6667 0.3333 0.0000 [1 per cell]

Crystalline Y3TiIr at its relaxed geometry. Source: Alexandria, functional PBE-GGA.

## Properties
- V: 131 Å³/cell
- Formation energy from the elements: 0.890 eV per atom
- Energy above the most stable polymorph in this dataset: 836 meV/atom
- Magnetization: 0.000 μB per atom
- D(E_F): 5.85 states/eV/cell

Lattice parameters (Å, degrees): 5.082 5.082 5.082 90.00 90.00 90.00
Space group Pm-3m (No. 221)
Unique sites:
Y: 0.000 0.000 0.500 [3 per cell]
Ti: 0.000 0.000 0.000 [1 per cell]
Ir: 0.500 0.500 0.500 [1 per cell]

Crystalline Y2TiIr at its relaxed geometry. Source: Alexandria, functional PBE-GGA.

## Properties
- V: 392 Å³/cell
- Formation energy from the elements: 0.077 eV per atom
- Energy above the most stable polymorph in this dataset: 265 meV/atom
- Magnetization: 0.313 μB per atom
- D(E_F): 13.82 states/eV/cell

Lattice parameters (Å, degrees): 8.153 8.153 5.898 90.00 90.00 90.00
Space group I-42d (No. 122)
Unique sites:
Y: 0.197 0.250 0.125 [8 per cell]
Ti: 0.000 0.000 0.500 [4 per cell]
Ir: 0.000 0.000 0.000 [4 per cell]

Crystalline YTiIr3 at its relaxed geometry. Source: Alexandria, functional PBE-GGA.

## Properties
- V: 99 Å³/cell
- Formation energy from the elements: 0.099 eV per atom
- Energy above the most stable polymorph in this dataset: 0 meV/atom
- Magnetization: 0.000 μB per atom
- D(E_F): 2.31 states/eV/cell

Lattice parameters (Å, degrees): 4.631 4.631 4.631 90.00 90.00 90.00
Space group Pm-3m (No. 221)
Unique sites:
Y: 0.000 0.000 0.000 [1 per cell]
Ti: 0.500 0.500 0.500 [1 per cell]
Ir: 0.000 0.500 0.500 [3 per cell]

Uncorrected energy values, unit eV/atom, following the record order: -9.592; -10.388; -9.394; -7.199; -8.712; -6.340; -7.344; -8.090.